VASP calculation (GGA-PBE) on an optimized crystal structure of BWSeN2.

Unit cell a=3.5905 b=3.5905 c=4.1998 alpha=90.00 beta=90.00 gamma=90.00
Element x y z (fractional)
N1 0.5000 0.0000 0.0000
N2 0.0000 0.5000 0.0000
B1 0.0000 0.0000 0.0000
Se1 0.0000 0.0000 0.5000
W1 0.5000 0.5000 0.5000

- calculated volume (Å³ per cell) = 54.1
- D(E_F) (states/eV/atom) = 0.649
- E_form (uncorrected) (meV/atom) = 1701
- electronic total energy (Ha/atom) = -0.230
- energy above the most stable polymorph in this dataset (eV/atom) = 0.616